Material: Er2LuTi
Method: DFT, GGA-PBE
State: optimized geometry

Energy above the most stable polymorph in this dataset   8.5 meV per atom
Crystal system   tetragonal
Energy of formation from the pure elements   72 kJ/mol of formula units

The structure in extended XYZ format:
```
4
Lattice="4.744 0.000 0.000 0.000 4.744 0.000 0.000 0.000 4.719" Properties=species:S:1:pos:R:3 pbc="T T T"
Er 0.000 2.372 0.000
Er 2.372 0.000 0.000
Lu 0.000 0.000 2.359
Ti 2.372 2.372 2.359
```